No. 1
Compound: SiCl
Source: Alexandria
Functional: PBE
Structure: relaxed

## Properties
**E_tot**: -7.25 eV/cell
**Crystal system**: triclinic
**Density of states at the Fermi level**: 0.3428 states/eV/atom
**Space group**: P1, No. 1
**Total moment**: 0.00 μB/f.u.
**Formation energy from raw total energies**: 0.01 eV/atom
**E above lowest polymorph**: 65.97 kJ/mol of atoms

POSCAR file:
```
SiCl
1.0
3.1956 -0.0266 0.0022
-1.5661 2.7925 -0.0092
-0.1388 -1.7276 5.4788
Si Cl
1 1
Direct
0.2003 0.4226 0.8889
0.3321 0.6589 0.2659
```



No. 2
Compound: LiSi2Sb
Source: Alexandria
Functional: PBE
Structure: relaxed

## Properties
**E_tot**: -15.98 eV/cell
**Crystal system**: orthorhombic
**Density of states at the Fermi level**: 0.4605 states/eV/atom
**Space group**: Cmmm, No. 65
**Total moment**: 0.00 μB/f.u.
**Formation energy from raw total energies**: 0.23 eV/atom

POSCAR file:
```
LiSi2Sb
1.0
4.5947 0.0768 0.0000
-1.5784 4.3158 0.0000
0.0000 0.0000 3.7827
Li Sb Si
1 1 2
Direct
0.5000 0.0000 0.5000
0.0000 0.5000 0.5000
0.0000 0.0000 0.0000
0.5000 0.5000 0.0000
```



No. 3
Compound: VCrAsBr2
Source: Alexandria
Functional: PBE
Structure: relaxed

## Properties
**E_tot**: -25.24 eV/cell
**Crystal system**: tetragonal
**Density of states at the Fermi level**: 0.6983 states/eV/atom
**Space group**: P4/mmm, No. 123
**Total moment**: 6.05 μB/f.u.
**Formation energy from raw total energies**: 0.30 eV/atom
**E above lowest polymorph**: 0.00 kJ/mol of atoms

POSCAR file:
```
VCrAsBr2
1.0
-1.5412 -3.0275 3.8163
4.7717 -0.1329 1.8216
-0.9330 3.9159 2.7297
Cr As Br V
1 1 2 1
Direct
0.5000 0.5000 0.5000
0.0000 0.0000 0.5000
0.0000 0.5000 0.0000
0.5000 0.0000 0.0000
0.0000 0.0000 0.0000
```



No. 4
Compound: K2Cd12SnAu3
Source: Alexandria
Functional: PBE
Structure: relaxed

## Properties
**E_tot**: -27.24 eV/cell
**Crystal system**: trigonal
**DFT formation energy**: -13 meV per atom
**Density of states at the Fermi level**: 0.4522 states/eV/atom
**Space group**: R-3m, No. 166
**Total moment**: 0.00 μB/f.u.

POSCAR file:
```
K2Cd12SnAu3
1.0
10.9324 1.9851 1.4080
7.1251 8.5258 1.4080
7.1251 4.1474 7.5810
K Cd Sn Au
2 12 1 3
Direct
0.6505 0.6505 0.6505
0.3495 0.3495 0.3495
0.4145 0.4145 0.8093
0.9254 0.9254 0.3700
0.3700 0.9254 0.9254
0.8093 0.4145 0.4145
0.9254 0.3700 0.9254
0.4145 0.8093 0.4145
0.5855 0.5855 0.1907
0.0746 0.0746 0.6300
0.6300 0.0746 0.0746
0.1907 0.5855 0.5855
0.0746 0.6300 0.0746
0.5855 0.1907 0.5855
0.0000 0.0000 0.0000
0.5000 0.0000 0.0000
0.0000 0.5000 0.0000
0.0000 0.0000 0.5000
```



No. 5
Compound: CsNb2OsW
Source: Alexandria
Functional: PBE
Structure: relaxed

## Properties
**E_tot**: -36.35 eV/cell
**Crystal system**: tetragonal
**DFT formation energy**: 1766 meV per atom
**Density of states at the Fermi level**: 1.4688 states/eV/atom
**Space group**: P4/mmm, No. 123
**Total moment**: 0.12 μB/f.u.

POSCAR file:
```
CsNb2OsW
1.0
-3.4210 -2.1114 3.0917
0.8227 -4.3645 -2.0703
3.6458 -0.9263 3.4015
Cs Nb Os W
1 2 1 1
Direct
0.5000 0.5000 0.5000
0.0000 0.0000 0.5000
0.5000 0.0000 0.0000
0.0000 0.5000 0.0000
0.0000 0.0000 0.0000
```



No. 6
Compound: CsSrSiHRh
Source: Alexandria
Functional: PBE
Structure: relaxed

## Properties
**E_tot**: -19.74 eV/cell
**Crystal system**: monoclinic
**Density of states at the Fermi level**: 0.2907 states/eV/atom
**Space group**: Cm, No. 8
**Total moment**: 0.00 μB/f.u.
**E above lowest polymorph**: 5.07 kJ/mol of atoms

POSCAR file:
```
CsSrSiHRh
1.0
3.8806 0.0032 0.0013
-0.0059 5.9915 -0.0016
-1.9391 -2.3135 5.2746
Cs Sr Si H Rh
1 1 1 1 1
Direct
0.9599 0.5607 0.1749
0.1324 0.1975 0.5190
0.3601 0.9843 0.9748
0.6748 0.5259 0.6033
0.7524 0.8447 0.7594
```



> What is the formula in the sixth record?

CsSrSiHRh



> Among the records above, which one has the highest density of states at the Fermi level?

CsNb2OsW



> The highest density of states at the Fermi level belongs to which entry?

CsNb2OsW